DFT (PBE-GGA) results for CaNd2Y after structural relaxation.

Unit cell a=12.407 b=12.407 c=12.407 alpha=17.02 beta=17.02 gamma=17.02
Sites, in units of the cell vectors:
Ca (0.000, 0.000, 0.000)
Nd (0.246, 0.246, 0.246)
Nd (0.421, 0.421, 0.421)
Y (0.834, 0.834, 0.834)

## Properties
Its energy above the most stable polymorph in this dataset is 0.4 kJ/mol of atoms. Its formation energy is 0.04 eV/atom. The calculation puts the density of states at the Fermi level at 5.252 states/eV/cell. As for the space group: No. 160.